# 1
Y3NF: optimized geometry, PBE.

abc: 4.7908 4.7908 4.7908
angles: 90.00 90.00 90.00
Fractional positions:
Y 0.0000 0.5000 0.0000
F 0.5000 0.5000 0.5000
Y 0.0000 0.0000 0.5000
Y 0.5000 0.0000 0.0000
N 0.0000 0.0000 0.0000

---

# 2
YNF2: optimized geometry, PBE.

abc: 4.0888 4.0888 4.0888
angles: 58.42 58.42 58.42
Fractional positions:
N 0.5000 0.5000 0.5000
Y 0.0000 0.0000 0.0000
F 0.7621 0.7621 0.7621
F 0.2379 0.2379 0.2379

---

# 3
Y4N3F: optimized geometry, PBE.

abc: 3.4753 6.0413 6.0413
angles: 71.02 90.00 90.00
Fractional positions:
N 0.0000 0.0001 0.0000
Y 0.5001 0.7589 0.2588
Y 0.0000 0.2303 0.2698
Y 0.0000 0.7699 0.7301
N 0.5000 0.0001 0.5000
Y 0.4998 0.2413 0.7412
N 0.0000 0.5001 0.5000
F 0.5000 0.5002 0.9999

---

# 4
YNF2: optimized geometry, PBE.

abc: 3.5207 6.1413 6.8550
angles: 126.00 94.86 90.31
Fractional positions:
Y 0.8015 0.4362 0.6973
F 0.2575 0.1540 0.4493
Y 0.2538 0.7498 0.4061
N 0.3796 0.5164 0.9962
N 0.6758 0.6696 0.1072
F 0.7476 0.4786 0.3782
F 0.3077 0.7074 0.7251
F 0.7978 0.0320 0.6540

---

# 5
YNF2: optimized geometry, PBE.

abc: 3.6041 3.6041 8.0958
angles: 77.14 77.14 90.00
Fractional positions:
N 0.2500 0.7500 0.5000
Y 0.0000 0.0000 0.0000
F 0.6320 0.1250 0.2500
F 0.1180 0.6250 0.2500
F 0.3750 0.3680 0.7500
F 0.8750 0.8820 0.7500
Y 0.7500 0.2500 0.5000
N 0.5000 0.5000 0.0000

---

# 6
YZnN2F: optimized geometry, PBE.

abc: 3.8691 3.8691 4.0260
angles: 90.00 90.00 90.00
Fractional positions:
Zn 0.0000 0.0000 0.0000
N 0.0000 0.5000 0.0000
Y 0.5000 0.5000 0.5000
F 0.0000 0.0000 0.5000
N 0.5000 0.0000 0.0000

---

Quick rundown of E, same order as above: -6.736; -6.386; -8.479; -7.474; -6.369; -5.864 eV per atom